A plane-wave DFT calculation with PBE-GGA was carried out for crystalline HgP2 at its relaxed geometry.

a b c (Å): 15.6525 15.6525 3.1106
angles (deg): 90.00 90.00 169.22
Last column: nearest neighbours and their distance in Å.
Fractional positions:
1 Hg 0.1317 0.8683 0.7500  4 Hg 2.94-3.11
2 Hg 0.8683 0.1317 0.2500  4 Hg 2.94-3.11
3 P 0.2668 0.7332 0.2500  4 P 2.38
4 P 0.4757 0.5243 0.7500  2 P 2.17
5 P 0.5243 0.4757 0.2500  2 P 2.17
6 P 0.7332 0.2668 0.7500  4 P 2.38

- total DFT energy (no corrections) (eV per formula unit) = -10.32
- calculated volume (Å³ per cell) = 142.5
- energy relative to the elements (meV/atom) = 266.9